Compound: KPm2S3
Source: Alexandria via LeMat-Bulk
Functional: GGA-PBE
Structure: relaxed

Cell lengths 4.0904, 4.0904, 21.5748 Å; angles 90.00, 90.00, 120.00 degrees
Sites, in units of the cell vectors:
K 0.0000 0.0000 0.2500
K 0.0000 0.0000 0.7500
Pm 0.3333 0.6667 0.0775
Pm 0.3333 0.6667 0.4225
Pm 0.6667 0.3333 0.5775
Pm 0.6667 0.3333 0.9225
S 0.0000 0.0000 0.0000
S 0.0000 0.0000 0.5000
S 0.3333 0.6667 0.6489
S 0.3333 0.6667 0.8511
S 0.6667 0.3333 0.1489
S 0.6667 0.3333 0.3511

Computed properties:
symmetry: No. 194
VASP energy: -68.9 eV per cell
total magnetic moment: 0.00 Bohr magnetons per cell


Compound: K5PmS4
Source: Alexandria via LeMat-Bulk
Functional: GGA-PBE
Structure: relaxed

Cell lengths 9.8576, 9.8576, 9.8576 Å; angles 153.58, 130.30, 57.16 degrees
Sites, in units of the cell vectors:
K 0.0000 0.0000 0.0000
K 0.0825 0.3275 0.7549
K 0.4274 0.6725 0.7549
K 0.5726 0.3275 0.2451
K 0.9175 0.6725 0.2451
Pm 0.5000 0.0000 0.5000
S 0.2722 0.5000 0.7722
S 0.3271 0.8271 0.5000
S 0.6729 0.1729 0.5000
S 0.7278 0.5000 0.2278

Computed properties:
symmetry: No. 71
VASP energy: -39.5 eV per cell
total magnetic moment: 0.00 Bohr magnetons per cell


Compound: KPmS
Source: Alexandria via LeMat-Bulk
Functional: GGA-PBE
Structure: relaxed

Cell lengths 6.2908, 6.2908, 11.0924 Å; angles 119.94, 119.94, 36.78 degrees
Sites, in units of the cell vectors:
K 0.0628 0.0628 0.3562
K 0.9372 0.9372 0.6438
Pm 0.1875 0.1875 0.1131
Pm 0.8125 0.8125 0.8869
S 0.2316 0.2316 0.6928
S 0.7684 0.7684 0.3072

Computed properties:
symmetry: No. 12
VASP energy: -25.2 eV per cell
total magnetic moment: 1.45 Bohr magnetons per cell


ΔE_f (raw) readings, ordered: -1908 -1276 -869 meV per atom